VASP calculation (PBE-GGA) on crystalline LaCd2Co at its relaxed geometry.

The space group is Imm2 (No. 44) and the conventional cell measures 3.8134, 5.4660 and 8.7147 Å, with angles of 90.00, 90.00 and 90.00 degrees. Symmetry generates all atoms from La at (0.0000, 0.0000, 0.0000), Cd at (0.0000, 0.0000, 0.5869), Cd at (0.0000, 0.5000, 0.8049) and Co at (0.0000, 0.5000, 0.3038).

Its formation energy is 0.0877 eV per atom. The value obtained for the magnetic moment is 0.00 μB per formula unit. As for the volume: 181.65 Å³/cell. The value obtained for the total energy is -3.378 eV/atom.

=====

VASP calculation (PBE-GGA) on crystalline Tb8Pr2Hg at its relaxed geometry.

The space group is C2/m (No. 12) and the conventional cell measures 19.4734, 5.6192 and 6.4633 Å, with angles of 90.00, 95.18 and 90.00 degrees. Symmetry generates all atoms from Tb at (0.0416, 0.0000, 0.2652), Tb at (0.0773, 0.5000, 0.6041), Tb at (0.1526, 0.0000, 0.8042), Tb at (0.1573, 0.5000, 0.1224), Pr at (0.2429, 0.0000, 0.3303) and Hg at (0.0000, 0.5000, 0.0000).

The value obtained for the offset from the most stable computed form is 0 meV per atom. Its formation energy is -0.0376 eV per atom. The value obtained for the magnetic moment is 0.00 μB per formula unit. As for the volume: 704.36 Å³/cell. The value obtained for the total energy is -4.301 eV/atom.

=====

VASP calculation (PBE-GGA) on crystalline ScZnAs2 at its relaxed geometry.

The space group is P2/m (No. 10) and the conventional cell measures 3.6174, 3.6546 and 5.7292 Å, with angles of 90.00, 90.78 and 90.00 degrees. Symmetry generates all atoms from Sc at (0.0000, 0.0000, 0.0000), Zn at (0.0000, 0.0000, 0.5000) and As at (0.4967, 0.5000, 0.7712).

Its formation energy is -0.4684 eV per atom. The value obtained for the magnetic moment is 0.00 μB per formula unit. As for the volume: 75.73 Å³/cell. The value obtained for the total energy is -4.695 eV/atom.

=====

VASP calculation (PBE-GGA) on crystalline Be4AlRe at its relaxed geometry.

The space group is F-43m (No. 216) and the conventional cell measures 6.1995, 6.1995 and 6.1995 Å, with angles of 90.00, 90.00 and 90.00 degrees. Symmetry generates all atoms from Be at (0.1218, 0.1218, 0.3782), Al at (0.0000, 0.0000, 0.0000) and Re at (0.2500, 0.2500, 0.7500).

Its formation energy is -0.1928 eV per atom. The value obtained for the magnetic moment is 0.00 μB per formula unit. As for the volume: 238.27 Å³/cell. The value obtained for the total energy is -5.375 eV/atom.

=====

VASP calculation (PBE-GGA) on crystalline MnTlHg2 at its relaxed geometry.

The space group is R-3m (No. 166, hexagonal axes) and the conventional cell measures 3.3213, 3.3213 and 29.1625 Å, with angles of 90.00, 90.00 and 120.00 degrees. Symmetry generates all atoms from Mn at (0.0000, 0.0000, 0.0000), Tl at (0.0000, 0.0000, 0.5000) and Hg at (0.0000, 0.0000, 0.2611).

Its formation energy is 0.2568 eV per atom. The value obtained for the magnetic moment is 3.90 μB per formula unit. As for the volume: 278.60 Å³/cell. The value obtained for the total energy is -2.778 eV/atom.

=====

VASP calculation (PBE-GGA) on crystalline NdYGe2 at its relaxed geometry.

The space group is Pmc2_1 (No. 26) and the conventional cell measures 4.0282, 5.8972 and 8.1381 Å, with angles of 90.00, 90.00 and 90.00 degrees. Symmetry generates all atoms from Nd at (0.0000, 0.1322, 0.0000), Y at (0.5000, 0.3687, 0.6376), Ge at (0.0000, 0.3923, 0.3588) and Ge at (0.5000, 0.1114, 0.2799).

The value obtained for the offset from the most stable computed form is 3 meV per atom. Its formation energy is -0.8605 eV per atom. The value obtained for the magnetic moment is 0.00 μB per formula unit. As for the volume: 193.32 Å³/cell. The value obtained for the total energy is -5.977 eV/atom.

=====

VASP calculation (PBE-GGA) on crystalline Rb2NbCCl6 at its relaxed geometry.

The space group is I4/mmm (No. 139) and the conventional cell measures 7.9913, 7.9913 and 9.0939 Å, with angles of 90.00, 90.00 and 90.00 degrees. Symmetry generates all atoms from Rb at (0.0000, 0.5000, 0.2500), Nb at (0.0000, 0.0000, 0.0000), C at (0.0000, 0.0000, 0.5000), Cl at (0.0000, 0.0000, 0.2641) and Cl at (0.2190, 0.2190, 0.0000).

For the raw formation energy, the calculation gives -7.1 eV/f.u. The value obtained for the magnetic moment is 3.00 μB per formula unit. As for the volume: 580.74 Å³/cell. The value obtained for the total energy is -3.942 eV/atom.

=====

VASP calculation (PBE-GGA) on crystalline ZnTcSe2N at its relaxed geometry.

The space group is P4/mmm (No. 123) and the conventional cell measures 5.0263, 5.0263 and 3.5777 Å, with angles of 90.00, 90.00 and 90.00 degrees. Symmetry generates all atoms from Zn at (0.0000, 0.0000, 0.0000), Tc at (0.5000, 0.5000, 0.5000), Se at (0.0000, 0.5000, 0.0000) and N at (0.0000, 0.0000, 0.5000).

The value obtained for the offset from the most stable computed form is 968 meV per atom. For the raw formation energy, the calculation gives 6.3 eV/f.u. The value obtained for the magnetic moment is 3.01 μB per formula unit. As for the volume: 90.39 Å³/cell. The value obtained for the total energy is -4.137 eV/atom.

=====

VASP calculation (PBE-GGA) on crystalline CuRe3Pb at its relaxed geometry.

The space group is Pm-3m (No. 221) and the conventional cell measures 4.9709, 4.9709 and 4.9709 Å, with angles of 90.00, 90.00 and 90.00 degrees. Symmetry generates all atoms from Cu at (0.0000, 0.0000, 0.0000), Re at (0.0000, 0.5000, 0.5000) and Pb at (0.5000, 0.5000, 0.5000).

The value obtained for the offset from the most stable computed form is 1521 meV per atom. Its formation energy is 3.5235 eV per atom. The value obtained for the magnetic moment is 3.50 μB per formula unit. As for the volume: 122.83 Å³/cell. The value obtained for the total energy is -5.506 eV/atom.

=====

VASP calculation (PBE-GGA) on crystalline TbGeSb at its relaxed geometry.

The space group is P3m1 (No. 156) and the conventional cell measures 4.8104, 4.8104 and 3.8215 Å, with angles of 90.00, 90.00 and 120.00 degrees. Symmetry generates all atoms from Tb at (0.0000, 0.0000, 0.0000), Ge at (0.6667, 0.3333, 0.4983) and Sb at (0.3333, 0.6667, 0.5006).

For the raw formation energy, the calculation gives -1.2 eV/f.u. The value obtained for the magnetic moment is 0.00 μB per formula unit. As for the volume: 76.58 Å³/cell. The value obtained for the total energy is -4.847 eV/atom.

=====

VASP calculation (PBE-GGA) on crystalline Ba2ScSiS6 at its relaxed geometry.

The space group is P-3m1 (No. 164) and the conventional cell measures 6.8002, 6.8002 and 5.9937 Å, with angles of 90.00, 90.00 and 120.00 degrees. Symmetry generates all atoms from Ba at (0.3333, 0.6667, 0.2173), Sc at (0.0000, 0.0000, 0.5000), Si at (0.0000, 0.0000, 0.0000) and S at (0.1630, 0.3259, 0.7778).

For the raw formation energy, the calculation gives -14.2 eV/f.u. The value obtained for the magnetic moment is 0.00 μB per formula unit. As for the volume: 240.03 Å³/cell. The value obtained for the total energy is -5.453 eV/atom.

=====

VASP calculation (PBE-GGA) on crystalline KBeSi2Sn at its relaxed geometry.

The space group is P4/mmm (No. 123) and the conventional cell measures 5.4251, 5.4251 and 5.0533 Å, with angles of 90.00, 90.00 and 90.00 degrees. Symmetry generates all atoms from K at (0.0000, 0.0000, 0.0000), Be at (0.0000, 0.0000, 0.5000), Si at (0.0000, 0.5000, 0.0000) and Sn at (0.5000, 0.5000, 0.5000).

For the raw formation energy, the calculation gives 9.8 eV/f.u. The value obtained for the magnetic moment is 0.00 μB per formula unit. As for the volume: 148.72 Å³/cell. The value obtained for the total energy is -1.970 eV/atom.

=====

Values for DOS(E_F), states/eV/atom, ordered as above
0.6112; 1.5127; 0.5576; 0.7530; 0.6385; 0.6273; 0.4914; 1.3898; 1.6430; 0.6803; 0.6497; 1.0467